YFe2H8 | PBE | relaxed

a b c (Å): 4.241 4.435 4.435
angles (deg): 120.07 90.00 90.00
Positions (direct):
Y 0.000 0.000 0.000
Fe 0.500 0.292 0.634
Fe 0.500 0.634 0.292
H 0.241 0.526 0.971
H 0.241 0.971 0.526
H 0.253 0.494 0.494
H 0.500 0.229 0.973
H 0.500 0.973 0.229
H 0.747 0.494 0.494
H 0.759 0.526 0.971
H 0.759 0.971 0.526

Properties
VASP energy = -51.97 eV/f.u.